Compound: PmY
Source: Alexandria
Functional: PBE-GGA
Structure: optimized geometry

Energy relative to the lowest polymorph listed for this composition   2 meV/atom
Formation energy from the elements   0.02 eV per atom
Calculated total energy   -5.588 eV/atom
V   66.53 Å³/cell

Lattice parameters (Å, degrees): 3.6226 3.6226 5.0699 90.00 90.00 90.00
Closest atoms and distances in Å follow each position.
Space group P4/mmm (No. 123)
One atom of each set of equivalent atoms:
Pm 0.0000 0.0000 0.0000 [1 per cell]  8 Y 3.60, 4 Pm 3.62
Y 0.5000 0.5000 0.5000 [1 per cell]  8 Pm 3.60, 4 Y 3.62